DFT (PBE with a Hubbard U) results for Tl3MoCl2F6 after structural relaxation.

Cell: 8.8739 8.8739 4.7420 Å, 91.80 91.80 53.04°
Fractional positions:
Tl (0.0000, 0.0000, 0.0000)
Tl (0.0000, 0.5000, 0.5000)
Tl (0.5000, 0.0000, 0.5000)
Mo (0.5000, 0.5000, 0.5000)
Cl (0.1940, 0.1940, 0.9813)
Cl (0.8060, 0.8060, 0.0187)
F (0.2719, 0.6288, 0.7199)
F (0.3712, 0.7281, 0.2801)
F (0.3965, 0.3965, 0.2812)
F (0.6035, 0.6035, 0.7188)
F (0.6288, 0.2719, 0.7199)
F (0.7281, 0.3712, 0.2801)

Properties
Symmetry: No. 12
Spin magnetization, μB/f.u.: 1.0
VASP energy, eV/atom: -4.2988